Version A
Material: CsSbPI2
Method: DFT, PBE
State: optimized geometry

Cell: 6.249 6.249 5.032 Å, 90.00 90.00 90.00°
Positions (direct):
Cs  0.500  0.500  0.500
I  0.000  0.500  0.000
I  0.500  0.000  0.000
P  0.000  0.000  0.000
Sb  0.000  0.000  0.500

Version B
Material: CsSbPI2
Method: DFT, PBE
State: optimized geometry

Cell: 6.394 5.135 6.394 Å, 90.00 90.00 90.00°
Site moments in Bohr magnetons follow the coordinates.
Positions (direct):
Cs  0.500  0.500  0.500  0.00
I  0.000  0.000  0.500  0.04
I  0.500  0.000  0.000  0.02
P  0.000  0.500  0.000  0.29
Sb  0.000  0.000  0.000  -0.01

Stability order, top to bottom: version B, version A

Version A
Material: Cs2PbI
Method: DFT, PBE
State: optimized geometry

Cell: 9.125 9.125 9.125 Å, 111.56 111.56 105.38°
Site moments in Bohr magnetons follow the coordinates.
Positions (direct):
Cs  0.856  0.375  0.981  0.04
Cs  0.394  0.875  0.019  0.04
Cs  0.125  0.144  0.519  0.04
Cs  0.625  0.606  0.481  0.04
Pb  0.000  0.000  0.000  0.80
Pb  0.250  0.750  0.500  0.80
I  0.500  0.500  0.000  0.03
I  0.750  0.250  0.500  0.03

Version B
Material: Cs2PbI
Method: DFT, PBE
State: optimized geometry

Cell: 6.761 6.761 6.761 Å, 60.00 60.00 60.00°
Site moments in Bohr magnetons follow the coordinates.
Positions (direct):
Pb  0.500  0.500  0.500  0.80
Cs  0.250  0.250  0.250  0.05
Cs  0.750  0.750  0.750  0.05
I  0.000  0.000  0.000  0.08

Stability order, top to bottom: version B, version A

Version A
Material: Cs3PbI6
Method: DFT, PBE
State: optimized geometry

Cell: 6.659 13.789 13.789 Å, 104.57 90.00 90.00°
Positions (direct):
Cs  0.468  0.932  0.704
Cs  0.968  0.704  0.932
Cs  0.458  0.386  0.614
Cs  0.958  0.614  0.386
Cs  0.968  0.068  0.296
Cs  0.468  0.296  0.068
Pb  0.085  0.210  0.790
Pb  0.585  0.790  0.210
I  0.214  0.662  0.660
I  0.714  0.660  0.662
I  0.170  0.438  0.877
I  0.670  0.877  0.438
I  0.119  0.067  0.933
I  0.618  0.213  0.787
I  0.118  0.787  0.213
I  0.619  0.933  0.067
I  0.170  0.123  0.562
I  0.670  0.562  0.123
I  0.214  0.340  0.338
I  0.714  0.338  0.340

Version B
Material: Cs3PbI6
Method: DFT, PBE
State: optimized geometry

Cell: 9.062 9.747 12.846 Å, 90.00 87.63 90.00°
Positions (direct):
Cs  0.531  0.925  0.757
Cs  0.500  0.500  0.000
Cs  0.469  0.075  0.243
Cs  0.031  0.575  0.257
Cs  0.000  0.000  0.500
Cs  0.969  0.425  0.743
Pb  0.500  0.500  0.500
Pb  0.000  0.000  0.000
I  0.720  0.174  0.953
I  0.663  0.234  0.575
I  0.627  0.443  0.275
I  0.373  0.557  0.725
I  0.337  0.766  0.425
I  0.280  0.826  0.047
I  0.220  0.326  0.453
I  0.163  0.266  0.075
I  0.127  0.057  0.775
I  0.873  0.943  0.225
I  0.837  0.734  0.925
I  0.780  0.674  0.547

Stability order, top to bottom: version A, version B

Version A
Material: CsPb2I2
Method: DFT, PBE
State: optimized geometry

Cell: 4.638 4.638 10.624 Å, 77.39 77.39 90.00°
Positions (direct):
Pb  0.750  0.250  0.500
Pb  0.250  0.750  0.500
Cs  0.000  0.000  0.000
I  0.391  0.391  0.218
I  0.609  0.609  0.782

Version B
Material: CsPb2I2
Method: DFT, PBE
State: optimized geometry

Cell: 9.970 9.970 5.104 Å, 90.00 90.00 90.00°
Positions (direct):
Pb  0.104  0.604  0.500
Pb  0.604  0.896  0.500
Pb  0.896  0.396  0.500
Pb  0.396  0.104  0.500
Cs  0.000  0.000  0.000
Cs  0.500  0.500  0.000
I  0.358  0.858  0.000
I  0.858  0.642  0.000
I  0.642  0.142  0.000
I  0.142  0.358  0.000

Stability order, top to bottom: version A, version B

Version A
Material: CsPb3I
Method: DFT, PBE
State: optimized geometry

Cell: 6.511 6.511 6.511 Å, 90.00 90.00 90.00°
Site moments in Bohr magnetons follow the coordinates.
Positions (direct):
Pb  0.000  0.500  0.000  0.23
Pb  0.000  0.000  0.500  0.12
Pb  0.500  0.000  0.000  0.20
Cs  0.000  0.000  0.000  0.07
I  0.500  0.500  0.500  0.13

Version B
Material: CsPb3I
Method: DFT, PBE
State: optimized geometry

Cell: 6.210 6.210 6.210 Å, 90.00 90.00 90.00°
Positions (direct):
Pb  0.000  0.500  0.000
Pb  0.000  0.000  0.500
Pb  0.500  0.000  0.000
Cs  0.500  0.500  0.500
I  0.000  0.000  0.000

Stability order, top to bottom: version B, version A

Version A
Material: CsPbI2
Method: DFT, PBE
State: optimized geometry

Cell: 5.462 5.462 8.130 Å, 70.37 70.37 60.00°
Positions (direct):
Pb  0.500  0.500  0.500
Cs  0.000  0.000  0.000
I  0.769  0.769  0.692
I  0.231  0.231  0.308

Version B
Material: CsPbI2
Method: DFT, PBE
State: optimized geometry

Cell: 6.214 6.214 6.214 Å, 60.00 60.00 60.00°
Positions (direct):
Pb  0.500  0.500  0.500
Cs  0.000  0.000  0.000
I  0.250  0.250  0.250
I  0.750  0.750  0.750

Stability order, top to bottom: version A, version B

Version A
Material: CsTePbI2
Method: DFT, PBE
State: optimized geometry

Cell: 6.426 6.426 6.061 Å, 90.00 90.00 90.00°
Site moments in Bohr magnetons follow the coordinates.
Positions (direct):
Pb  0.000  0.000  0.000  0.00
Cs  0.500  0.500  0.500  0.00
Te  0.000  0.000  0.500  0.28
I  0.000  0.500  0.000  0.04
I  0.500  0.000  0.000  0.04

Version B
Material: CsTePbI2
Method: DFT, PBE
State: optimized geometry

Cell: 6.769 6.769 6.249 Å, 90.00 90.00 90.00°
Positions (direct):
Pb  0.500  0.500  0.500
Cs  0.000  0.000  0.000
Te  0.000  0.000  0.500
I  0.000  0.500  0.000
I  0.500  0.000  0.000

Stability order, top to bottom: version A, version B

Version A
Material: CsPdI
Method: DFT, PBE
State: optimized geometry

Cell: 10.979 4.763 8.255 Å, 90.00 90.00 90.00°
Positions (direct):
Cs  0.000  0.250  0.751
Cs  0.500  0.750  0.251
Cs  0.000  0.750  0.249
Cs  0.500  0.250  0.749
I  0.750  0.250  0.417
I  0.750  0.750  0.917
I  0.250  0.750  0.583
I  0.250  0.250  0.083
Pd  0.250  0.250  0.416
Pd  0.250  0.750  0.916
Pd  0.750  0.750  0.584
Pd  0.750  0.250  0.084

Version B
Material: CsPdI
Method: DFT, PBE
State: optimized geometry

Cell: 12.075 8.195 4.209 Å, 90.00 90.00 90.00°
Positions (direct):
Cs  0.730  0.250  0.999
Cs  0.770  0.750  0.499
Cs  0.270  0.750  0.001
Cs  0.230  0.250  0.501
I  0.000  0.000  0.000
I  0.500  0.500  0.500
I  0.500  0.000  0.500
I  0.000  0.500  0.000
Pd  0.463  0.250  0.000
Pd  0.037  0.750  0.500
Pd  0.537  0.750  0.000
Pd  0.963  0.250  0.500

Stability order, top to bottom: version A, version B

Version A
Material: CsPd2I
Method: DFT, PBE
State: optimized geometry

Cell: 5.281 5.281 5.281 Å, 60.00 60.00 60.00°
Positions (direct):
Cs  0.500  0.500  0.500
I  0.000  0.000  0.000
Pd  0.250  0.250  0.250
Pd  0.750  0.750  0.750

Version B
Material: CsPd2I
Method: DFT, PBE
State: optimized geometry

Cell: 5.753 5.753 9.562 Å, 72.49 72.49 90.00°
Positions (direct):
Cs  0.000  0.000  0.000
Cs  0.750  0.250  0.500
I  0.500  0.500  0.000
I  0.250  0.750  0.500
Pd  0.375  0.125  0.250
Pd  0.375  0.625  0.250
Pd  0.375  0.625  0.750
Pd  0.875  0.625  0.750

Stability order, top to bottom: version B, version A

Version A
Material: CsPdI4
Method: DFT, PBE
State: optimized geometry

Cell: 7.416 9.742 7.830 Å, 107.49 90.00 112.37°
Positions (direct):
Cs  0.174  0.000  0.750
Cs  0.826  0.000  0.250
Pd  0.500  0.500  0.500
Pd  0.000  0.500  0.000
I  0.438  0.193  0.393
I  0.830  0.587  0.316
I  0.245  0.807  0.107
I  0.562  0.807  0.607
I  0.170  0.413  0.684
I  0.243  0.413  0.184
I  0.757  0.587  0.816
I  0.755  0.193  0.893

Version B
Material: CsPdI4
Method: DFT, PBE
State: optimized geometry

Cell: 5.791 8.085 10.968 Å, 90.00 105.31 90.00°
Positions (direct):
Cs  0.399  0.750  0.798
Cs  0.601  0.250  0.202
Pd  0.094  0.750  0.187
Pd  0.906  0.250  0.813
I  0.184  0.520  0.368
I  0.816  0.480  0.632
I  0.184  0.980  0.368
I  0.816  0.020  0.632
I  0.594  0.750  0.187
I  0.406  0.250  0.813
I  0.000  0.500  0.000
I  0.000  0.000  0.000

Stability order, top to bottom: version A, version B

Version A
Material: Cs2ScPdI6
Method: DFT, PBE
State: optimized geometry

Cell: 8.330 8.330 14.545 Å, 73.36 73.36 60.00°
Site moments in Bohr magnetons follow the coordinates.
Positions (direct):
Cs  0.879  0.879  0.362  0.00
Cs  0.121  0.121  0.638  0.00
Cs  0.704  0.704  0.887  0.00
Cs  0.296  0.296  0.113  0.00
Sc  0.584  0.584  0.249  0.03
Sc  0.416  0.416  0.751  0.03
Pd  0.000  0.000  0.000  0.47
Pd  0.500  0.500  0.500  0.69
I  0.868  0.379  0.375  0.07
I  0.379  0.868  0.375  0.07
I  0.379  0.379  0.375  0.07
I  0.132  0.621  0.625  0.07
I  0.621  0.132  0.625  0.07
I  0.621  0.621  0.625  0.07
I  0.707  0.210  0.873  0.02
I  0.210  0.707  0.873  0.02
I  0.210  0.210  0.873  0.02
I  0.293  0.790  0.127  0.02
I  0.790  0.293  0.127  0.02
I  0.790  0.790  0.127  0.02

Version B
Material: Cs2ScPdI6
Method: DFT, PBE
State: optimized geometry

Cell: 8.311 8.311 8.286 Å, 59.90 59.90 90.00°
Site moments in Bohr magnetons follow the coordinates.
Positions (direct):
Cs  0.750  0.250  0.500  0.00
Cs  0.250  0.750  0.500  0.00
I  0.250  0.250  0.501  0.04
I  0.750  0.750  0.499  0.04
I  0.252  0.252  0.000  0.04
I  0.748  0.748  0.000  0.04
I  0.748  0.252  0.000  0.04
I  0.252  0.748  0.000  0.04
Sc  0.500  0.500  0.000  0.06
Pd  0.000  0.000  0.000  0.56

Stability order, top to bottom: version A, version B

Version A
Material: CsTePdI2
Method: DFT, PBE
State: optimized geometry

Cell: 7.255 7.255 7.239 Å, 90.00 90.00 90.00°
Site moments in Bohr magnetons follow the coordinates.
Positions (direct):
Cs  0.000  0.000  0.000  0.02
I  0.000  0.500  0.000  0.24
I  0.500  0.000  0.000  0.24
Te  0.000  0.000  0.500  0.92
Pd  0.500  0.500  0.500  0.46

Version B
Material: CsTePdI2
Method: DFT, PBE
State: optimized geometry

Cell: 5.827 5.827 5.355 Å, 90.00 90.00 90.00°
Site moments in Bohr magnetons follow the coordinates.
Positions (direct):
Cs  0.500  0.500  0.500  0.01
I  0.000  0.500  0.000  0.05
I  0.500  0.000  0.000  0.05
Te  0.000  0.000  0.500  0.34
Pd  0.000  0.000  0.000  0.11

Stability order, top to bottom: version B, version A